Below is a relaxed Pr2BiO2 crystal, with properties calculated at the PBEsol level.

Summary:
The total energy is -7.6078 eV/atom. The value obtained for the density of states at the Fermi level is 1.03 states/eV per cell. The space group is I4/mmm. The volume comes out at 111.6 Å³/cell.

abc: 4.003 4.003 7.518
angles: 105.44 105.44 90.00
Fractional positions:
Pr  0.664  0.664  0.329
Pr  0.336  0.336  0.671
Bi  0.000  0.000  0.000
O  0.750  0.250  0.500
O  0.250  0.750  0.500



Below is a relaxed BePt2Rh crystal, with properties calculated at the PBEsol level.

Summary:
The total energy is -6.8811 eV/atom. The value obtained for the density of states at the Fermi level is 5.07 states/eV per cell. The space group is P4/mmm. The volume comes out at 51.1 Å³/cell. As for the energy relative to the elements: -0.36 eV per atom.

abc: 2.727 2.727 6.877
angles: 90.00 90.00 90.00
Each line ends with the local moment (μB).
Fractional positions:
Be  0.500  0.500  0.500  0.00
Rh  0.500  0.500  0.000  0.60
Pt  0.000  0.000  0.709  0.14
Pt  0.000  0.000  0.291  0.14



Below is a relaxed La2MgSc crystal, with properties calculated at the PBEsol level.

Summary:
The total energy is -4.7522 eV/atom. The value obtained for the density of states at the Fermi level is 4.70 states/eV per cell. The space group is Imm2. The volume comes out at 115.5 Å³/cell. As for the energy relative to the elements: 0.00 eV per atom.

abc: 3.729 5.580 6.487
angles: 115.47 106.70 90.00
Fractional positions:
Sc  0.768  0.768  0.537
Mg  0.487  0.987  0.974
La  0.005  0.505  0.010
La  0.240  0.240  0.479



Below is a relaxed Sc3Cd2 crystal, with properties calculated at the PBEsol level.

Summary:
The total energy is -4.5566 eV/atom. The value obtained for the density of states at the Fermi level is 4.65 states/eV per cell. The space group is R-3m. The volume comes out at 112.2 Å³/cell. As for the energy relative to the elements: -0.11 eV per atom.

abc: 3.245 3.245 12.448
angles: 82.51 82.51 60.00
Each line ends with the local moment (μB).
Fractional positions:
Cd  0.399  0.399  0.804  0.01
Cd  0.601  0.601  0.196  0.01
Sc  0.000  0.000  0.000  0.02
Sc  0.201  0.201  0.396  0.31
Sc  0.799  0.799  0.604  0.31



Below is a relaxed SiNi2Au crystal, with properties calculated at the PBEsol level.

Summary:
The total energy is -5.6706 eV/atom. The value obtained for the density of states at the Fermi level is 2.16 states/eV per cell. The space group is I-4m2. The volume comes out at 49.0 Å³/cell.

abc: 3.629 3.629 4.522
angles: 113.66 113.66 90.00
Fractional positions:
Au  0.250  0.750  0.500
Ni  0.000  0.000  0.000
Ni  0.750  0.250  0.500
Si  0.500  0.500  0.000



Below is a relaxed Mn3AgIr crystal, with properties calculated at the PBEsol level.

Summary:
The total energy is -7.2528 eV/atom. The value obtained for the density of states at the Fermi level is 3.78 states/eV per cell. The space group is Pm-3m. The volume comes out at 105.8 Å³/cell. As for the energy relative to the elements: 1.23 eV per atom.

abc: 4.730 4.730 4.730
angles: 90.00 90.00 90.00
Each line ends with the local moment (μB).
Fractional positions:
Mn  0.000  0.500  0.000  3.95
Mn  0.000  0.000  0.500  3.95
Mn  0.500  0.000  0.000  3.95
Ir  0.000  0.000  0.000  0.37
Ag  0.500  0.500  0.500  -0.01



Below is a relaxed LaIBr3 crystal, with properties calculated at the PBEsol level.

Summary:
The total energy is -3.7794 eV/atom. The value obtained for the density of states at the Fermi level is 6.63 states/eV per cell. The space group is Pm-3m. The volume comes out at 193.6 Å³/cell.

abc: 5.785 5.785 5.785
angles: 90.00 90.00 90.00
Each line ends with the local moment (μB).
Fractional positions:
I  0.500  0.500  0.500  0.53
Br  0.000  0.500  0.000  0.04
Br  0.000  0.000  0.500  0.04
Br  0.500  0.000  0.000  0.04
La  0.000  0.000  0.000  0.00



Below is a relaxed Na2CdTePb crystal, with properties calculated at the PBEsol level.

Summary:
The total energy is -2.2893 eV/atom. The value obtained for the density of states at the Fermi level is 2.77 states/eV per cell. The space group is P4/mmm. The volume comes out at 193.9 Å³/cell.

abc: 5.561 5.561 6.270
angles: 90.00 90.00 90.00
Fractional positions:
Pb  0.000  0.000  0.500
Na  0.000  0.500  0.000
Na  0.500  0.000  0.000
Te  0.000  0.000  0.000
Cd  0.500  0.500  0.500